Density functional theory data (GGA-PBE) for HfZr3Tl after structural relaxation.

Cell: 7.825 7.825 8.217 Å, 107.01 107.01 87.34°
Fractional positions:
Hf 0.064 0.730 0.829
Hf 0.270 0.936 0.671
Hf 0.730 0.064 0.329
Hf 0.936 0.270 0.171
Zr 0.101 0.297 0.562
Zr 0.178 0.411 0.955
Zr 0.232 0.559 0.358
Zr 0.297 0.101 0.062
Zr 0.411 0.178 0.455
Zr 0.441 0.768 0.142
Zr 0.559 0.232 0.858
Zr 0.589 0.822 0.545
Zr 0.703 0.899 0.938
Zr 0.768 0.441 0.642
Zr 0.822 0.589 0.045
Zr 0.899 0.703 0.438
Tl 0.088 0.912 0.250
Tl 0.427 0.573 0.750
Tl 0.573 0.427 0.250
Tl 0.912 0.088 0.750

Values from the calculation:
Electronic total energy   -37.6 eV/f.u.
Density   9.49 g/cm³
DOS at the Fermi energy   6.5 states/eV/f.u.
ΔE to the lowest computed polymorph   52 meV per atom
Energy of formation   66 meV per atom



Density functional theory data (GGA-PBE) for ErUCo3 after structural relaxation.

Cell: 6.087 6.087 7.290 Å, 125.72 125.72 58.72°
Fractional positions:
Er 0.000 0.000 0.000
Er 0.001 0.001 0.501
U 0.604 0.604 0.376
U 0.604 0.604 0.876
Co 0.057 0.487 0.512
Co 0.058 0.487 0.014
Co 0.386 0.386 0.874
Co 0.387 0.387 0.376
Co 0.487 0.057 0.512
Co 0.487 0.058 0.014

Values from the calculation:
Electronic total energy   -38.3 eV/f.u.
Density   11.28 g/cm³
DOS at the Fermi energy   4.1 states/eV/f.u.
ΔE to the lowest computed polymorph   0 meV per atom
Energy of formation   -222 meV per atom



Density functional theory data (GGA-PBE) for TbPrSm2Er4 after structural relaxation.

Cell: 9.508 9.508 6.807 Å, 110.97 110.97 88.48°
Fractional positions:
Tb 0.000 0.000 0.000
Tb 0.000 0.000 0.500
Pr 0.000 0.500 0.000
Pr 0.500 0.000 0.500
Sm 0.000 0.500 0.500
Sm 0.500 0.000 0.000
Sm 0.500 0.500 0.000
Sm 0.500 0.500 0.500
Er 0.248 0.249 0.499
Er 0.248 0.752 0.501
Er 0.248 0.752 0.999
Er 0.249 0.248 0.999
Er 0.751 0.752 0.001
Er 0.752 0.248 0.001
Er 0.752 0.248 0.499
Er 0.752 0.751 0.501

Values from the calculation:
Electronic total energy   -33.7 eV/f.u.
Density   7.91 g/cm³
DOS at the Fermi energy   17.8 states/eV/f.u.
Energy of formation   424 meV per atom



Density functional theory data (GGA-PBE) for LaErGa2Pt5 after structural relaxation.

Cell: 4.252 4.252 9.353 Å, 90.00 90.00 90.00°
Fractional positions:
La 0.000 0.000 0.000
Er 0.000 0.000 0.500
Ga 0.500 0.500 0.371
Ga 0.500 0.500 0.629
Pt 0.000 0.500 0.234
Pt 0.000 0.500 0.766
Pt 0.500 0.000 0.234
Pt 0.500 0.000 0.766
Pt 0.500 0.500 0.000

Values from the calculation:
Electronic total energy   -53.7 eV/f.u.
Density   13.96 g/cm³
DOS at the Fermi energy   5.0 states/eV/f.u.
Energy of formation   -883 meV per atom



Density functional theory data (GGA-PBE) for NbAs2HI after structural relaxation.

Cell: 5.540 5.540 5.102 Å, 90.00 90.00 90.00°
Fractional positions:
Nb 0.000 0.000 0.000
As 0.000 0.500 0.500
As 0.500 0.000 0.500
H 0.500 0.500 0.000
I 0.000 0.000 0.500

Values from the calculation:
Electronic total energy   -14.2 eV/f.u.
Density   3.93 g/cm³
DOS at the Fermi energy   5.1 states/eV/f.u.



Density functional theory data (GGA-PBE) for FeNiRh after structural relaxation.

Cell: 4.119 4.119 2.588 Å, 90.00 90.00 120.00°
Fractional positions:
Fe 0.000 0.000 0.000
Ni 0.667 0.333 0.101
Rh 0.333 0.667 0.578

Values from the calculation:
Electronic total energy   -21.5 eV/f.u.
Density   9.50 g/cm³
DOS at the Fermi energy   2.5 states/eV/f.u.
ΔE to the lowest computed polymorph   27 meV per atom
Energy of formation   23 meV per atom



Density functional theory data (GGA-PBE) for TbHoFe after structural relaxation.

Cell: 6.844 6.844 7.316 Å, 90.00 90.00 120.15°
Fractional positions:
Tb 0.198 0.802 0.887
Tb 0.302 0.698 0.387
Tb 0.698 0.302 0.613
Tb 0.802 0.198 0.113
Ho 0.206 0.294 0.750
Ho 0.294 0.206 0.250
Ho 0.706 0.794 0.750
Ho 0.794 0.706 0.250
Fe 0.092 0.908 0.544
Fe 0.408 0.592 0.044
Fe 0.592 0.408 0.956
Fe 0.908 0.092 0.456

Values from the calculation:
Electronic total energy   -17.5 eV/f.u.
Density   8.51 g/cm³
DOS at the Fermi energy   3.3 states/eV/f.u.
ΔE to the lowest computed polymorph   5 meV per atom
Energy of formation   56 meV per atom



Density functional theory data (GGA-PBE) for BaAg2Rh after structural relaxation.

Cell: 6.069 6.069 6.069 Å, 45.96 45.96 45.96°
Fractional positions:
Ba 0.000 0.000 0.000
Ag 0.510 0.510 0.510
Ag 0.806 0.806 0.806
Rh 0.185 0.185 0.185

Values from the calculation:
Electronic total energy   -15.2 eV/f.u.
Density   7.19 g/cm³
DOS at the Fermi energy   3.5 states/eV/f.u.
ΔE to the lowest computed polymorph   0 meV per atom
Energy of formation   -61 meV per atom